<A>
NaNClF2 | GGA-PBE | optimized geometry

Computed properties:
M_tot in μB/cell: 0.0
Density in g cm⁻³: 2.49
Volume in Å³ per cell: 74

```
NaNClF2
1.0
4.720 0.000 0.000
0.000 4.720 0.000
0.000 0.000 3.299
Na N F Cl
1 1 2 1
Cartesian
2.360 2.360 1.650
0.000 0.000 1.650
0.000 2.360 0.000
2.360 0.000 0.000
0.000 0.000 0.000
```

***

<B>
NaNClF2 | GGA-PBE | optimized geometry

Computed properties:
M_tot in μB/cell: 2.9
Density in g cm⁻³: 1.86
Volume in Å³ per cell: 98

```
NaNClF2
1.0
-2.697 0.754 -2.983
2.375 -2.011 -2.656
-2.811 -5.006 1.277
Na N F Cl
1 1 2 1
Cartesian
0.000 0.000 0.000
-1.405 -2.503 0.638
1.188 -1.005 -1.328
-1.349 0.377 -1.491
-1.566 -3.132 -2.181
```

***

Q: What are the energies relative to the best structure? A: <A> 0; <B> 485, in meV per atom.